VASP calculation (GGA-PBE) on crystalline HoTe at its relaxed geometry.

## Properties
Its density of states at the Fermi level is 1.50 states/eV/f.u. The value obtained for the formation energy from raw total energies is -239 kJ/mol of formula units. Its crystal system is cubic.

```
HoTe
1.0
0.000 3.066 3.066
3.066 0.000 3.066
3.066 3.066 0.000
Ho Te
1 1
Direct
0.000 0.000 0.000 Ho
0.500 0.500 0.500 Te
```